No. 1
{"formula": "RbPrAg", "functional": "PBE-GGA", "state": "relaxed", "e_tot_ev_per_atom": -2.146, "cell": [[-0.675, -4.012, 3.430], [-3.062, 0.663, 4.301], [-4.706, -2.463, 0.321]], "species": ["Ag", "Pr", "Rb"], "fractional_positions": [[0.000, 0.000, 0.000], [0.250, 0.250, 0.250], [0.500, 0.500, 0.500]]}

No. 2
{"formula": "FeIrPd2", "functional": "PBE-GGA", "state": "relaxed", "e_tot_ev_per_atom": -6.726, "e_form_ev_per_atom": 0.152, "cell": [[0.000, 3.082, 3.082], [3.082, 0.000, 3.082], [3.082, 3.082, 0.000]], "species": ["Fe", "Ir", "Pd", "Pd"], "fractional_positions": [[0.250, 0.250, 0.250], [0.500, 0.500, 0.500], [0.000, 0.000, 0.000], [0.750, 0.750, 0.750]]}

No. 3
{"formula": "TbSm2Ta2N6", "functional": "PBE-GGA", "state": "relaxed", "e_tot_ev_per_atom": -9.345, "cell": [[-7.021, -5.316, 4.801], [-9.784, -1.628, 1.487], [8.398, 1.573, -5.253]], "species": ["N", "N", "N", "N", "N", "N", "Sm", "Sm", "Ta", "Ta", "Tb"], "fractional_positions": [[0.300, 0.300, 0.000], [0.700, 0.700, 0.000], [0.582, 0.082, 0.500], [0.918, 0.418, 0.500], [0.082, 0.582, 0.500], [0.418, 0.918, 0.500], [0.179, 0.179, 0.000], [0.821, 0.821, 0.000], [0.401, 0.401, 0.000], [0.599, 0.599, 0.000], [0.000, 0.000, 0.000]]}

No. 4
{"formula": "CsKP2Au4", "functional": "PBE-GGA", "state": "relaxed", "e_tot_ev_per_atom": -3.655, "cell": [[5.283, -4.409, -4.699], [7.588, -1.359, 3.162], [-7.868, -0.807, 2.621]], "species": ["Au", "Au", "Au", "Au", "Cs", "K", "P", "P"], "fractional_positions": [[0.856, 0.119, 0.230], [0.373, 0.144, 0.263], [0.881, 0.110, 0.737], [0.890, 0.627, 0.770], [0.500, 0.500, 0.000], [0.250, 0.750, 0.500], [0.000, 0.000, 0.000], [0.750, 0.250, 0.500]]}

No. 5
{"formula": "Li2Sn2IrPd", "functional": "PBE-GGA", "state": "relaxed", "e_tot_ev_per_atom": -4.775, "cell": [[4.627, 0.000, 0.000], [-2.313, 4.007, 0.000], [0.000, 0.000, 5.551]], "species": ["Ir", "Li", "Li", "Pd", "Sn", "Sn"], "fractional_positions": [[0.667, 0.333, 0.000], [0.000, 0.000, 0.246], [0.000, 0.000, 0.754], [0.333, 0.667, 0.500], [0.333, 0.667, 0.000], [0.667, 0.333, 0.500]]}

No. 6
{"formula": "MoPdPt", "functional": "PBE-GGA", "state": "relaxed", "e_tot_ev_per_atom": -7.613, "de_polymorph_ev_per_atom": 0.0039, "e_form_ev_per_atom": -0.254, "cell": [[-2.014, -3.200, -4.080], [2.753, -2.731, 0.783], [-5.166, -3.653, 5.416]], "species": ["Mo", "Mo", "Mo", "Mo", "Pd", "Pd", "Pd", "Pd", "Pt", "Pt", "Pt", "Pt"], "fractional_positions": [[0.625, 0.250, 0.246], [0.125, 0.250, 0.254], [0.875, 0.750, 0.746], [0.375, 0.750, 0.754], [0.876, 0.750, 0.084], [0.376, 0.750, 0.416], [0.624, 0.250, 0.584], [0.124, 0.250, 0.916], [0.375, 0.750, 0.088], [0.875, 0.750, 0.412], [0.125, 0.250, 0.588], [0.625, 0.250, 0.912]]}

No. 7
{"formula": "Na2Ir", "functional": "PBE-GGA", "state": "relaxed", "e_tot_ev_per_atom": -2.938, "cell": [[0.000, 3.704, 3.704], [3.704, 0.000, 3.704], [3.704, 3.704, 0.000]], "species": ["Ir", "Ir", "Na", "Na", "Na", "Na"], "fractional_positions": [[0.000, 0.000, 0.000], [0.250, 0.250, 0.250], [0.625, 0.625, 0.125], [0.625, 0.125, 0.625], [0.125, 0.625, 0.625], [0.625, 0.625, 0.625]]}

No. 8
{"formula": "Tb2Y2B3", "functional": "PBE-GGA", "state": "relaxed", "e_tot_ev_per_atom": -5.277, "cell": [[1.708, -10.156, 0.000], [1.708, 10.156, 0.000], [0.000, 0.000, 5.096]], "species": ["B", "B", "B", "Tb", "Tb", "Y", "Y"], "fractional_positions": [[0.760, 0.240, 0.000], [0.500, 0.500, 0.000], [0.240, 0.760, 0.000], [0.627, 0.373, 0.000], [0.373, 0.627, 0.000], [0.815, 0.185, 0.500], [0.185, 0.815, 0.500]]}

No. 9
{"formula": "KAg3SnS4", "functional": "PBE-GGA", "state": "relaxed", "e_tot_ev_per_atom": -3.725, "de_polymorph_ev_per_atom": 0.0000, "cell": [[6.440, 0.000, 0.000], [0.000, 7.691, 0.000], [-2.898, 0.000, 10.087]], "species": ["Ag", "Ag", "Ag", "Ag", "Ag", "Ag", "K", "K", "S", "S", "S", "S", "S", "S", "S", "S", "Sn", "Sn"], "fractional_positions": [[0.305, 0.555, 0.041], [0.305, 0.945, 0.041], [0.444, 0.750, 0.296], [0.556, 0.250, 0.704], [0.695, 0.055, 0.959], [0.695, 0.445, 0.959], [0.084, 0.250, 0.361], [0.916, 0.750, 0.639], [0.038, 0.250, 0.003], [0.658, 0.006, 0.217], [0.658, 0.494, 0.217], [0.169, 0.750, 0.414], [0.831, 0.250, 0.586], [0.342, 0.506, 0.783], [0.342, 0.994, 0.783], [0.962, 0.750, 0.997], [0.882, 0.750, 0.213], [0.118, 0.250, 0.787]]}

No. 10
{"formula": "CdSnSeO", "functional": "PBE-GGA", "state": "relaxed", "e_tot_ev_per_atom": -3.723, "de_polymorph_ev_per_atom": 0.4170, "cell": [[-3.856, -1.496, -3.739], [0.340, -5.279, 1.762], [-4.845, 1.196, 4.517]], "species": ["Cd", "Cd", "O", "O", "Se", "Se", "Sn", "Sn"], "fractional_positions": [[0.750, 0.750, 0.166], [0.250, 0.250, 0.834], [0.250, 0.250, 0.136], [0.750, 0.750, 0.864], [0.750, 0.250, 0.500], [0.250, 0.750, 0.500], [0.250, 0.250, 0.424], [0.750, 0.750, 0.576]]}

No. 11
{"formula": "LuHfCuPt", "functional": "PBE-GGA", "state": "relaxed", "e_tot_ev_per_atom": -6.506, "de_polymorph_ev_per_atom": 0.2273, "e_form_ev_per_atom": -0.443, "cell": [[-3.251, -2.791, -1.712], [-4.143, -0.227, 2.019], [-3.696, 1.784, -2.110]], "species": ["Cu", "Hf", "Lu", "Pt"], "fractional_positions": [[0.750, 0.750, 0.750], [0.250, 0.250, 0.250], [0.000, 0.000, 0.000], [0.500, 0.500, 0.500]]}

No. 12
{"formula": "HfBePt", "functional": "PBE-GGA", "state": "relaxed", "e_tot_ev_per_atom": -6.997, "de_polymorph_ev_per_atom": 0.4575, "cell": [[3.190, -1.811, 2.188], [-0.756, -3.426, 2.435], [1.493, -3.825, -1.174]], "species": ["Be", "Hf", "Pt"], "fractional_positions": [[0.250, 0.250, 0.250], [0.750, 0.750, 0.750], [0.000, 0.000, 0.000]]}